12
Lattice="7.411 0.000 0.000 0.000 3.713 0.000 0.000 0.000 12.890" Properties=species:S:1:pos:R:3 comment="PrSmAg (PBE, relaxed)" e_above_lowest_polymorph_mev_per_atom=12 dos_ef_per_ev_atom=1.44 total_energy_ev_per_atom=-4.261 ef_ev_per_atom=-0.144 pbc="T T T"
Pr 0.962 0.928 1.243
Pr 2.743 2.785 7.689
Pr 4.668 0.928 5.202
Pr 6.449 2.785 11.647
Sm 0.901 0.928 5.052
Sm 2.805 2.785 11.497
Sm 4.606 0.928 1.393
Sm 6.510 2.785 7.839
Ag 0.919 0.928 9.750
Ag 2.786 2.785 3.305
Ag 4.624 0.928 9.585
Ag 6.492 2.785 3.140

***

12
Lattice="7.319 0.000 0.000 0.000 7.319 0.000 0.000 0.000 7.319" Properties=species:S:1:pos:R:3 comment="PrSmAg (PBE, relaxed)" e_above_lowest_polymorph_mev_per_atom=242 dos_ef_per_ev_atom=1.85 total_energy_ev_per_atom=-4.031 ef_ev_per_atom=0.085 pbc="T T T"
Pr 0.000 0.000 0.000
Pr 0.000 3.660 3.660
Pr 3.660 0.000 3.660
Pr 3.660 3.660 0.000
Sm 0.000 0.000 3.660
Sm 0.000 3.660 0.000
Sm 3.660 0.000 0.000
Sm 3.660 3.660 3.660
Ag 1.830 1.830 5.490
Ag 1.830 5.490 1.830
Ag 5.490 1.830 1.830
Ag 5.490 5.490 5.490

***

Repeat the second record exactly.
12
Lattice="7.319 0.000 0.000 0.000 7.319 0.000 0.000 0.000 7.319" Properties=species:S:1:pos:R:3 comment="PrSmAg (PBE, relaxed)" e_above_lowest_polymorph_mev_per_atom=242 dos_ef_per_ev_atom=1.85 total_energy_ev_per_atom=-4.031 ef_ev_per_atom=0.085 pbc="T T T"
Pr 0.000 0.000 0.000
Pr 0.000 3.660 3.660
Pr 3.660 0.000 3.660
Pr 3.660 3.660 0.000
Sm 0.000 0.000 3.660
Sm 0.000 3.660 0.000
Sm 3.660 0.000 0.000
Sm 3.660 3.660 3.660
Ag 1.830 1.830 5.490
Ag 1.830 5.490 1.830
Ag 5.490 1.830 1.830
Ag 5.490 5.490 5.490